Computed, not measured: a relaxed TeI2 crystal at the PBE-GGA level of DFT.

For the total magnetization, the calculation gives 0.00 μB/cell. As for the offset from the most stable computed form: 16 meV/atom.

The structure belongs to space group P1 (No. 1); the cell edges are 6.688, 6.902 and 7.759 Å and the angles 91.47°, 93.60° and 118.84°. The distinct sites, in fractional coordinates, are Te at (0.000, 0.000, 0.000), Te at (0.388, 0.333, 0.834), I at (0.113, 0.688, 0.136), I at (0.160, 0.283, 0.321), I at (0.544, 0.052, 0.726) and I at (0.791, 0.727, 0.653).